# 1
Below is an optimized crystal structure of Li4Al2HgPt, with properties calculated at the GGA-PBE level.

Cell: 4.3783 4.3783 6.2222 Å, 90.00 90.00 90.00°
Last column: nearest neighbours and their distance in Å.
Fractional coordinates of all 8 atoms:
1 Li 0.0000 0.0000 0.0000  4 Li 2.71, 4 Al 2.81
2 Li 0.0000 0.5000 0.7424  4 Li 2.66-2.71, 2 Pt 2.66, 2 Hg 2.71, 1 Al 2.85
3 Li 0.5000 0.0000 0.2576  4 Li 2.66-2.71, 2 Pt 2.66, 2 Hg 2.71, 1 Al 2.85
4 Li 0.5000 0.5000 0.5000  4 Al 2.57, 4 Li 2.66
5 Al 0.0000 0.5000 0.2836  5 Li 2.57-2.85, 2 Pt 2.57, 2 Hg 2.81
6 Al 0.5000 0.0000 0.7164  5 Li 2.57-2.85, 2 Pt 2.57, 2 Hg 2.81
7 Hg 0.5000 0.5000 0.0000  4 Li 2.71, 4 Al 2.81
8 Pt 0.0000 0.0000 0.5000  4 Al 2.57, 4 Li 2.66

Results
magnetization	0.00	μB/atom
SG	No. 115
VASP energy	-3.184	eV per atom

# 2
Below is an optimized crystal structure of Li4AlSnHg2, with properties calculated at the GGA-PBE level.

Cell: 4.6302 4.6302 6.5990 Å, 90.00 90.00 90.00°
Last column: nearest neighbours and their distance in Å.
Fractional coordinates of all 8 atoms:
1 Li 0.0000 0.0000 0.0000  4 Li 2.87, 4 Hg 2.95
2 Li 0.0000 0.5000 0.7431  4 Li 2.82-2.87, 2 Al 2.82, 2 Sn 2.87, 1 Hg 3.08
3 Li 0.5000 0.0000 0.2569  4 Li 2.82-2.87, 2 Al 2.82, 2 Sn 2.87, 1 Hg 3.08
4 Li 0.5000 0.5000 0.5000  4 Hg 2.74, 4 Li 2.82
5 Al 0.0000 0.0000 0.5000  4 Hg 2.74, 4 Li 2.82
6 Sn 0.5000 0.5000 0.0000  4 Li 2.87, 4 Hg 2.95
7 Hg 0.0000 0.5000 0.2766  4 Li 2.74-2.95, 2 Al 2.74, 2 Sn 2.95
8 Hg 0.5000 0.0000 0.7234  4 Li 2.74-2.95, 2 Al 2.74, 2 Sn 2.95

Results
SG	No. 115
VASP energy	-2.317	eV per atom